# 1
# NaSr8Ca6

An optimized crystal structure of NaSr8Ca6 (PBE-GGA, the Alexandria database).

Unit cell a=11.1418 b=11.1418 c=6.8972 alpha=90.00 beta=90.00 gamma=120.00
Element x y z (fractional)
Na: 0.0000 0.0000 0.0000
Sr: 0.0460 0.7809 0.7261
Sr: 0.2191 0.2650 0.7261
Sr: 0.2650 0.0460 0.2739
Sr: 0.3333 0.6667 0.7282
Sr: 0.6667 0.3333 0.2718
Sr: 0.7350 0.9540 0.7261
Sr: 0.7809 0.7350 0.2739
Sr: 0.9540 0.2191 0.2739
Ca: 0.0998 0.6209 0.2334
Ca: 0.3791 0.4789 0.2334
Ca: 0.4789 0.0998 0.7666
Ca: 0.5211 0.9002 0.2334
Ca: 0.6209 0.5211 0.7666
Ca: 0.9002 0.3791 0.7666

Properties
- Crystal system: trigonal
- SG: P-3 (147)
- ΔE_f: 101 meV per atom


# 2
# SiTc2Ir

An optimized crystal structure of SiTc2Ir (PBE-GGA, the Alexandria database).

Unit cell a=3.9910 b=2.7902 c=10.1271 alpha=90.00 beta=90.00 gamma=90.00
Element x y z (fractional)
Si: 0.0000 0.0000 0.0000
Si: 0.0000 0.5000 0.5000
Tc: 0.0000 0.0000 0.2415
Tc: 0.0000 0.5000 0.7415
Tc: 0.5000 0.0000 0.6065
Tc: 0.5000 0.5000 0.1065
Ir: 0.5000 0.0000 0.8690
Ir: 0.5000 0.5000 0.3690

Properties
- Crystal system: orthorhombic
- SG: Amm2 (38)
- Formation energy without anion corrections: -0.29 eV/atom


# 3
# La2ThNi6

An optimized crystal structure of La2ThNi6 (PBE-GGA, the Alexandria database).

Unit cell a=7.1497 b=7.1497 c=3.8481 alpha=90.00 beta=90.00 gamma=120.00
Element x y z (fractional)
La: 0.3333 0.6667 0.0000
La: 0.6667 0.3333 0.0000
Th: 0.0000 0.0000 0.0000
Ni: 0.0000 0.3295 0.5000
Ni: 0.0000 0.6705 0.5000
Ni: 0.3295 0.0000 0.5000
Ni: 0.3295 0.3295 0.5000
Ni: 0.6705 0.0000 0.5000
Ni: 0.6705 0.6705 0.5000

Properties
- Crystal system: hexagonal
- SG: P6/mmm (191)
- ΔE_f: -352 meV per atom


# 4
# Sm2GdSi

An optimized crystal structure of Sm2GdSi (PBE-GGA, the Alexandria database).

Unit cell a=4.7202 b=4.7202 c=4.6813 alpha=90.00 beta=90.00 gamma=90.00
Element x y z (fractional)
Sm: 0.0000 0.5000 0.0000
Sm: 0.5000 0.0000 0.0000
Gd: 0.0000 0.0000 0.5000
Si: 0.5000 0.5000 0.5000

Properties
- Crystal system: tetragonal
- SG: P4/mmm (123)
- Offset from the most stable computed form: 0.0 meV/atom
- Formation energy without anion corrections: -0.27 eV/atom


# 5
# CsZr2Tl2

An optimized crystal structure of CsZr2Tl2 (PBE-GGA, the Alexandria database).

Unit cell a=9.3410 b=9.3410 c=3.2428 alpha=90.00 beta=90.00 gamma=90.00
Element x y z (fractional)
Cs: 0.0000 0.0000 0.0000
Cs: 0.5000 0.5000 0.0000
Zr: 0.1192 0.3808 0.0000
Zr: 0.3808 0.8808 0.0000
Zr: 0.6192 0.1192 0.0000
Zr: 0.8808 0.6192 0.0000
Tl: 0.1736 0.6736 0.5000
Tl: 0.3264 0.1736 0.5000
Tl: 0.6736 0.8264 0.5000
Tl: 0.8264 0.3264 0.5000

Properties
- Crystal system: tetragonal
- SG: P4/mbm (127)
- Offset from the most stable computed form: 0.0 meV/atom
- ΔE_f: 247 meV per atom


# 6
# YNiAg2S

An optimized crystal structure of YNiAg2S (PBE-GGA, the Alexandria database).

Unit cell a=4.8460 b=4.8460 c=4.3150 alpha=90.00 beta=90.00 gamma=90.00
Element x y z (fractional)
Y: 0.0000 0.0000 0.0000
Ni: 0.5000 0.5000 0.5000
Ag: 0.0000 0.5000 0.5000
Ag: 0.5000 0.0000 0.5000
S: 0.5000 0.5000 0.0000

Properties
- Crystal system: tetragonal
- SG: P4/mmm (123)
- Formation energy without anion corrections: -0.09 eV/atom


# 7
# AgIrCO5

An optimized crystal structure of AgIrCO5 (PBE-GGA, the Alexandria database).

Unit cell a=5.2951 b=5.2951 c=7.0799 alpha=106.55 beta=106.55 gamma=103.35
Element x y z (fractional)
Ag: 0.1540 0.8460 0.7500
Ag: 0.8460 0.1540 0.2500
Ir: 0.5000 0.5000 0.0000
Ir: 0.5000 0.5000 0.5000
C: 0.1935 0.8065 0.2500
C: 0.8065 0.1935 0.7500
O: 0.0854 0.2503 0.9036
O: 0.1806 0.6215 0.3525
O: 0.2503 0.0854 0.4036
O: 0.3785 0.8194 0.1475
O: 0.4137 0.5863 0.7500
O: 0.5863 0.4137 0.2500
O: 0.6215 0.1806 0.8525
O: 0.7497 0.9146 0.5964
O: 0.8194 0.3785 0.6475
O: 0.9146 0.7497 0.0964

Properties
- Crystal system: monoclinic
- SG: C2/c (15)
- Formation energy without anion corrections: -0.56 eV/atom


# 8
# LiPuSc2

An optimized crystal structure of LiPuSc2 (PBE-GGA, the Alexandria database).

Unit cell a=3.2039 b=3.2039 c=9.0750 alpha=90.00 beta=90.00 gamma=90.00
Element x y z (fractional)
Li: 0.0000 0.0000 0.0000
Pu: 0.0000 0.0000 0.5000
Sc: 0.5000 0.5000 0.2484
Sc: 0.5000 0.5000 0.7516

Properties
- Crystal system: tetragonal
- SG: P4/mmm (123)
- Offset from the most stable computed form: 0.0 meV/atom
- ΔE_f: 155 meV per atom


# 9
# LiErP

An optimized crystal structure of LiErP (PBE-GGA, the Alexandria database).

Unit cell a=7.5197 b=6.8082 c=8.2229 alpha=59.15 beta=51.01 gamma=69.85
Element x y z (fractional)
Li: 0.0265 0.9735 0.2184
Li: 0.0316 0.4684 0.2235
Li: 0.4684 0.0316 0.2765
Li: 0.9735 0.0265 0.7816
Er: 0.3230 0.5205 0.3988
Er: 0.4923 0.8512 0.7295
Er: 0.5205 0.3230 0.7577
Er: 0.8512 0.4923 0.9270
P: 0.2440 0.7036 0.6772
P: 0.5728 0.8748 0.0060
P: 0.7036 0.2440 0.3752
P: 0.8748 0.5728 0.5464

Properties
- Crystal system: orthorhombic
- SG: Fdd2 (43)
- ΔE_f: -837 meV per atom


# 10
# Y2TaOs

An optimized crystal structure of Y2TaOs (PBE-GGA, the Alexandria database).

Unit cell a=3.2668 b=4.3428 c=6.6760 alpha=90.00 beta=103.78 gamma=90.00
Element x y z (fractional)
Y: 0.0000 0.0000 0.0000
Y: 0.2724 0.5000 0.6603
Ta: 0.5943 0.0000 0.4117
Os: 0.7557 0.5000 0.2434

Properties
- Crystal system: monoclinic
- SG: Pm (6)
- Offset from the most stable computed form: 221.1 meV/atom
- ΔE_f: 153 meV per atom


# 11
# La2SiMo

An optimized crystal structure of La2SiMo (PBE-GGA, the Alexandria database).

Unit cell a=6.4289 b=8.4914 c=3.5044 alpha=90.00 beta=90.00 gamma=90.00
Element x y z (fractional)
La: 0.2500 0.2500 0.0000
La: 0.2500 0.7500 0.0000
La: 0.7500 0.2500 0.0000
La: 0.7500 0.7500 0.0000
Si: 0.0000 0.0000 0.5000
Si: 0.5000 0.5000 0.5000
Mo: 0.0000 0.5000 0.5000
Mo: 0.5000 0.0000 0.5000

Properties
- Crystal system: orthorhombic
- SG: Cmmm (65)
- Formation energy without anion corrections: 0.15 eV/atom


# 12
# Fe3CuAs

An optimized crystal structure of Fe3CuAs (PBE-GGA, the Alexandria database).

Unit cell a=4.3691 b=4.3691 c=4.3691 alpha=90.00 beta=90.00 gamma=90.00
Element x y z (fractional)
Fe: 0.0000 0.0000 0.5000
Fe: 0.0000 0.5000 0.0000
Fe: 0.5000 0.0000 0.0000
Cu: 0.5000 0.5000 0.5000
As: 0.0000 0.0000 0.0000

Properties
- Crystal system: cubic
- SG: Pm-3m (221)
- Offset from the most stable computed form: 0.0 meV/atom
- ΔE_f: 879 meV per atom


Computed values of calculated total energy (unit: eV for the cell shown) for the preceding records, in sequence: -25.28 -72.38 -55.13 -30.01 -42.89 -22.51 -100.36 -28.29 -57.59 -35.40 -51.04 -29.74.
Computed values of Fermi-level density of states (unit: states/eV/atom) for the preceding records, in sequence: 1.207 0.799 1.322 0.976 1.185 0.665 0.626 2.369 0.092 1.332 1.127 1.633.